First-principles (PBE-GGA) data for PH2AuSe4 after structural relaxation, as listed in the Alexandria database.

POSCAR file:
```
PH2AuSe4
1.0
6.133 -0.034 -0.165
-0.046 5.842 0.003
-3.200 -2.908 5.287
Se H P Au
4 2 1 1
Cartesian
4.211 1.354 1.190
1.165 1.264 3.328
-2.228 -2.083 4.032
1.700 4.153 0.904
3.207 1.033 0.118
1.315 0.166 2.264
2.697 2.757 2.329
2.607 0.022 5.073
```

Properties
Raw total energy = -3.6479 eV per atom
Space-group type = No. 1

***

First-principles (PBE-GGA) data for SiPHAu after structural relaxation, as listed in the Alexandria database.

POSCAR file:
```
SiPHAu
1.0
3.509 0.000 0.000
-1.755 3.015 0.031
0.000 -1.852 6.388
Si P H Au
1 1 1 1
Cartesian
1.755 -0.485 3.199
1.755 1.505 4.295
1.755 -0.242 1.570
1.755 -1.761 6.158
```

Properties
Raw total energy = -4.1414 eV per atom
Space-group type = No. 8
Density of states at the Fermi level = 1.2 states/eV/cell

***

First-principles (PBE-GGA) data for SnPHAu2 after structural relaxation, as listed in the Alexandria database.

POSCAR file:
```
SnPHAu2
1.0
-4.439 -1.688 1.862
2.317 -4.212 1.705
0.624 1.493 2.840
H Au Sn P
1 2 1 1
Cartesian
0.312 0.746 1.420
-2.219 -0.844 0.931
1.159 -2.106 0.853
-0.749 -2.203 3.204
0.000 0.000 0.000
```

Properties
Raw total energy = -3.7790 eV per atom
Space-group type = No. 123
Density of states at the Fermi level = 2.8 states/eV/cell